[1]
Here is crystalline AcCe6Te8 at its relaxed geometry from Alexandria via LeMat-Bulk. Energies are from PBE-GGA.

a b c (Å): 9.0006 9.0006 9.0006
angles (deg): 60.00 60.00 60.00
Last column: nearest neighbours and their distance in Å.
Fractional coordinates of all 15 atoms:
Te: 0.7376 0.7376 0.2624  4 Ce 3.19, 1 Ac 3.34
Te: 0.2500 0.2500 0.2500  6 Ce 3.18
Te: 0.7500 0.7500 0.7500  6 Ce 3.18
Te: 0.2624 0.7376 0.7376  4 Ce 3.19, 1 Ac 3.34
Te: 0.7376 0.2624 0.7376  4 Ce 3.19, 1 Ac 3.34
Te: 0.2624 0.7376 0.2624  4 Ce 3.19, 1 Ac 3.34
Te: 0.2624 0.2624 0.7376  4 Ce 3.19, 1 Ac 3.34
Te: 0.7376 0.2624 0.2624  4 Ce 3.19, 1 Ac 3.34
Ce: 0.5000 0.5000 0.0000  6 Te 3.18-3.19
Ce: 0.0000 0.0000 0.5000  6 Te 3.18-3.19
Ce: 0.5000 0.0000 0.5000  6 Te 3.18-3.19
Ce: 0.5000 0.0000 0.0000  6 Te 3.18-3.19
Ce: 0.0000 0.5000 0.5000  6 Te 3.18-3.19
Ce: 0.0000 0.5000 0.0000  6 Te 3.18-3.19
Ac: 0.0000 0.0000 0.0000  6 Te 3.34

Results
The calculation puts the formation energy (no corrections) at -1.392 eV per atom. Its total DFT energy (no corrections) is -85.73 eV/f.u.

---

[2]
Here is crystalline BaLaO2 at its relaxed geometry from Alexandria via LeMat-Bulk. Energies are from PBE-GGA.

a b c (Å): 4.5863 4.5863 4.5863
angles (deg): 60.00 60.00 60.00
Last column: nearest neighbours and their distance in Å.
Fractional coordinates of all 4 atoms:
La: 0.5000 0.5000 0.5000  8 O 2.81
Ba: 0.0000 0.0000 0.0000  8 O 2.81
O: 0.2500 0.2500 0.2500  4 Ba 2.81, 4 La 2.81
O: 0.7500 0.7500 0.7500  4 Ba 2.81, 4 La 2.81

Results
The calculation puts the formation energy (no corrections) at -2.127 eV per atom. Its total DFT energy (no corrections) is -25.28 eV/f.u. The excess energy over the best structure of this formula in the dataset comes out at 462 meV per atom.

---

[3]
Here is crystalline InOsBr2 at its relaxed geometry from Alexandria via LeMat-Bulk. Energies are from PBE-GGA.

a b c (Å): 7.6819 7.6819 7.6819
angles (deg): 155.76 143.88 43.98
Last column: nearest neighbours and their distance in Å.
Fractional coordinates of all 4 atoms:
Br: 0.1048 0.1048 0.0000  2 Os 2.62
Br: 0.3952 0.3952 0.0000  2 Os 2.62
Os: 0.2500 0.7500 0.5000  4 Br 2.62, 4 In 2.88
In: 0.7500 0.2500 0.5000  4 Os 2.88, 4 Br 3.15

Results
The calculation puts the formation energy (no corrections) at 0.301 eV per atom. Its total DFT energy (no corrections) is -16.11 eV/f.u. The excess energy over the best structure of this formula in the dataset comes out at 120 meV per atom.

---

[4]
Here is crystalline GeSb2PtI at its relaxed geometry from Alexandria via LeMat-Bulk. Energies are from PBE-GGA.

a b c (Å): 5.3337 5.3337 5.2979
angles (deg): 90.00 90.00 90.00
Last column: nearest neighbours and their distance in Å.
Fractional coordinates of all 5 atoms:
Sb: 0.0000 0.5000 0.0000  2 Ge 2.67
Sb: 0.5000 0.0000 0.0000  2 Ge 2.67
Ge: 0.0000 0.0000 0.0000  2 I 2.65, 4 Sb 2.67
Pt: 0.5000 0.5000 0.5000  8 Sb 3.76, 4 I 3.77
I: 0.0000 0.0000 0.5000  2 Ge 2.65

Results
The calculation puts the formation energy (no corrections) at 1.029 eV per atom. Its total DFT energy (no corrections) is -15.31 eV/f.u. The excess energy over the best structure of this formula in the dataset comes out at 492 meV per atom.

---

[5]
Here is crystalline CePrDy3 at its relaxed geometry from Alexandria via LeMat-Bulk. Energies are from PBE-GGA.

a b c (Å): 6.2546 9.5514 8.4500
angles (deg): 119.56 112.11 107.55
Last column: nearest neighbours and their distance in Å.
Fractional coordinates of all 10 atoms:
Dy: 0.6876 0.2600 0.7578  7 Dy 3.42-3.69, 2 Pr 3.47-3.68, 3 Ce 3.48-3.62
Dy: 0.8686 0.6609 0.7538  6 Dy 3.50-3.67, 4 Pr 3.51-3.66, 2 Ce 3.74-3.75
Dy: 0.2967 0.4693 0.7643  7 Dy 3.44-3.69, 3 Ce 3.47-3.60, 2 Pr 3.56-3.66
Dy: 0.3124 0.7400 0.2422  7 Dy 3.42-3.69, 2 Pr 3.47-3.68, 3 Ce 3.48-3.62
Dy: 0.7033 0.5307 0.2357  7 Dy 3.44-3.69, 3 Ce 3.47-3.60, 2 Pr 3.56-3.66
Dy: 0.1314 0.3391 0.2462  6 Dy 3.50-3.67, 4 Pr 3.51-3.66, 2 Ce 3.74-3.75
Ce: 0.0494 0.0377 0.6997  1 Ce 2.84
Ce: 0.9506 0.9623 0.3003  1 Ce 2.84
Pr: 0.4645 0.8487 0.7448  8 Dy 3.47-3.68, 1 Pr 3.55, 3 Ce 3.59-3.83
Pr: 0.5355 0.1513 0.2552  8 Dy 3.47-3.68, 1 Pr 3.55, 3 Ce 3.59-3.83

Results
The value obtained for the formation energy is 0.07 eV per atom. Its total DFT energy (no corrections) is -24.18 eV/f.u.

---

[6]
Here is crystalline Co2PBr at its relaxed geometry from Alexandria via LeMat-Bulk. Energies are from PBE-GGA.

a b c (Å): 6.5825 6.5825 6.5825
angles (deg): 152.05 152.55 39.58
Last column: nearest neighbours and their distance in Å.
Fractional coordinates of all 4 atoms:
P: 0.5450 0.5450 0.0000  6 Co 2.18-2.29
Co: 0.6656 0.1656 0.5000  2 P 2.18
Co: 0.0019 0.0019 0.0000  4 P 2.29, 2 Co 2.56
Br: 0.2875 0.7875 0.5000  4 Co 2.69

Results
The calculation puts the formation energy (no corrections) at 0.047 eV per atom. Its total DFT energy (no corrections) is -21.10 eV/f.u. The excess energy over the best structure of this formula in the dataset comes out at 251 meV per atom.

---

| no. | magnetic moment (μB/cell) |
| --- | --- |
| 1 | 7.4 |
| 2 | 0.0 |
| 3 | 0.0 |
| 4 | 0.0 |
| 5 | 1.6 |
| 6 | 1.4 |